The following is a DFT calculation (PBE) of a relaxed Rb2SrTlF6 crystal.

- Theoretical density: 4.4 g/cm3
- Formation energy from raw total energies: -2.736 eV per atom
- Magnetic moment: 0.98 μB/f.u.

Cell: 9.5494 9.5494 9.5494 Å, 90.00 90.00 90.00°
Last column: nearest neighbours and their distance in Å.
Space group Fm-3m (No. 225)
One atom of each set of equivalent atoms:
Rb1 0.2500 0.2500 0.2500 x8  12 F 3.38
Sr1 0.0000 0.0000 0.0000 x4  6 F 2.38
Tl1 0.0000 0.0000 0.5000 x4  6 F 2.39
F1 0.0000 0.0000 0.2496 x24  1 Sr 2.38, 1 Tl 2.39



The following is a DFT calculation (PBE) of a relaxed Li2SiMo crystal.

- Theoretical density: 3.7 g/cm3
- Formation energy from raw total energies: 0.011 eV per atom
- Magnetic moment: 0.00 μB/f.u.

Cell: 3.3661 4.2222 8.7489 Å, 90.00 90.00 90.00°
Last column: nearest neighbours and their distance in Å.
Space group Cmm2 (No. 35)
One atom of each set of equivalent atoms:
Li1 0.0000 0.0000 0.0000 x2  4 Si 2.60-2.90, 4 Li 2.70
Li2 0.0000 0.5000 0.2963 x2  4 Li 2.70, 2 Mo 2.80
Si1 0.0000 0.5000 0.7732 x2  4 Mo 2.56-2.86, 2 Li 2.60, 4 Si 2.70
Mo1 0.0000 0.0000 0.5522 x2  4 Si 2.56-2.86, 4 Mo 2.70, 2 Li 2.80



The following is a DFT calculation (PBE) of a relaxed PaPdPt crystal.

- Energy relative to the elements: -0.434 eV per atom
- Theoretical density: 12.5 g/cm3
- Magnetic moment: 0.00 μB/f.u.
- Excess energy over the best structure of this formula in the dataset: 280.6 meV per atom

Cell: 6.5698 6.5698 6.5698 Å, 90.00 90.00 90.00°
Last column: nearest neighbours and their distance in Å.
Space group F-43m (No. 216)
One atom of each set of equivalent atoms:
Pa1 0.0000 0.0000 0.0000 x4  4 Pt 2.84, 4 Pd 2.84
Pd1 0.2500 0.2500 0.7500 x4  4 Pa 2.84
Pt1 0.2500 0.2500 0.2500 x4  4 Pa 2.84



The following is a DFT calculation (PBE) of a relaxed Cs2PuH2O6 crystal.

- Theoretical density: 5.5 g/cm3
- Energy: -6.195 eV per atom
- Magnetic moment: 0.10 μB/f.u.

Cell: 5.3325 5.3325 7.4254 Å, 90.00 90.00 120.00°
Last column: nearest neighbours and their distance in Å.
Space group P-3m1 (No. 164)
One atom of each set of equivalent atoms:
Cs1 0.3333 0.6667 0.3373 x2  6 O 2.99
Pu1 0.0000 0.0000 0.0000 x1  6 O 2.00
H1 0.3333 0.6667 0.8571 x2  3 O 1.45
O1 0.1763 0.3525 0.8445 x6  1 H 1.45



The following is a DFT calculation (PBE) of a relaxed Nd2AlBi crystal.

- Energy relative to the elements: -0.512 eV per atom
- Theoretical density: 7.6 g/cm3
- Magnetic moment: 0.00 μB/f.u.
- Excess energy over the best structure of this formula in the dataset: 0.0 meV per atom

Cell: 4.0882 4.0882 6.8751 Å, 90.00 90.00 90.00°
Last column: nearest neighbours and their distance in Å.
Space group P4/mmm (No. 123)
One atom of each set of equivalent atoms:
Nd1 0.0000 0.0000 0.2471 x2  4 Al 3.35, 4 Bi 3.37, 2 Nd 3.40-3.48
Al1 0.5000 0.5000 0.0000 x1  8 Nd 3.35, 2 Bi 3.44
Bi1 0.5000 0.5000 0.5000 x1  8 Nd 3.37, 2 Al 3.44



The following is a DFT calculation (PBE) of a relaxed PaSiPd2 crystal.

- Theoretical density: 10.1 g/cm3
- Formation energy from raw total energies: -0.431 eV per atom
- Magnetic moment: 0.00 μB/f.u.

Cell: 4.3404 4.1445 4.3580 Å, 90.00 98.75 90.00°
Last column: nearest neighbours and their distance in Å.
Space group P2/m (No. 10)
One atom of each set of equivalent atoms:
Pa1 0.0000 0.0000 0.0000 x1  4 Pd 2.83, 2 Si 2.83
Si1 0.5000 0.0000 0.5000 x1  4 Pd 2.49
Pd1 0.2915 0.5000 0.7093 x2  2 Si 2.49, 1 Pd 2.76